--- one ---
Material: Tm8InTc2
Method: DFT, PBE
State: optimized geometry

Properties
space-group type = C2/m (12)
crystal system = monoclinic
density of states at the Fermi level = 8.40 states/eV/f.u.
calculated volume = 26.79 A^3/atom

Cell lengths 5.373, 7.813, 7.813 Å; angles 112.05, 97.88, 97.88 degrees
Fractional positions:
Tm  0.500  0.247  0.753
Tm  0.078  0.061  0.330
Tm  0.304  0.616  0.616
Tm  0.500  0.753  0.247
Tm  0.922  0.670  0.939
Tm  0.078  0.330  0.061
Tm  0.922  0.939  0.670
Tm  0.696  0.384  0.384
Tc  0.000  0.682  0.318
Tc  0.000  0.318  0.682
In  0.500  0.000  0.000

---

--- two ---
Material: Tm8InTc2
Method: DFT, PBE
State: optimized geometry

Properties
space-group type = Cm (8)
crystal system = monoclinic
density of states at the Fermi level = 6.86 states/eV/f.u.
calculated volume = 25.46 A^3/atom

Cell lengths 5.253, 6.863, 8.888 Å; angles 112.66, 107.18, 90.06 degrees
Fractional positions:
Tm  0.966  0.015  0.569
Tm  0.344  0.860  0.326
Tm  0.306  0.355  0.250
Tm  0.747  0.935  0.130
Tm  0.637  0.266  0.909
Tm  0.927  0.443  0.492
Tm  0.139  0.535  0.909
Tm  0.526  0.714  0.689
Tc  0.799  0.618  0.238
Tc  0.470  0.289  0.580
In  0.137  0.971  0.909

---

Most stable: one

---

--- one ---
Material: UInTc2
Method: DFT, PBE
State: optimized geometry

Properties
space-group type = P4/mmm (123)
crystal system = tetragonal
density of states at the Fermi level = 3.77 states/eV/f.u.
calculated volume = 17.86 A^3/atom

Cell lengths 3.556, 4.483, 4.483 Å; angles 90.00, 90.00, 90.00 degrees
Fractional positions:
In  0.500  0.500  0.500
Tc  0.000  0.000  0.500
Tc  0.000  0.500  0.000
U  0.500  0.000  0.000

---

--- two ---
Material: UInTc2
Method: DFT, PBE
State: optimized geometry

Properties
space-group type = R-3m (166)
crystal system = trigonal
density of states at the Fermi level = 3.14 states/eV/f.u.
calculated volume = 19.15 A^3/atom

Cell lengths 3.338, 3.338, 8.169 Å; angles 78.21, 78.21, 60.00 degrees
Fractional positions:
Tc  0.261  0.261  0.216
Tc  0.739  0.739  0.784
U  0.000  0.000  0.000
In  0.500  0.500  0.500

---

--- three ---
Material: UInTc2
Method: DFT, PBE
State: optimized geometry

Properties
space-group type = Fm-3m (225)
crystal system = cubic
density of states at the Fermi level = 5.60 states/eV/f.u.
calculated volume = 18.28 A^3/atom

Cell lengths 4.694, 4.694, 4.694 Å; angles 60.00, 60.00, 60.00 degrees
Fractional positions:
Tc  0.250  0.250  0.250
Tc  0.750  0.750  0.750
In  0.500  0.500  0.500
U  0.000  0.000  0.000

---

Most stable: one

---

--- one ---
Material: U2InTc
Method: DFT, PBE
State: optimized geometry

Properties
space-group type = R-3m (166)
crystal system = trigonal
density of states at the Fermi level = 8.72 states/eV/f.u.
calculated volume = 20.29 A^3/atom

Cell lengths 3.015, 3.015, 10.455 Å; angles 81.71, 81.71, 60.00 degrees
Fractional positions:
In  0.500  0.500  0.500
U  0.740  0.740  0.779
U  0.260  0.260  0.221
Tc  0.000  0.000  0.000

---

--- two ---
Material: U2InTc
Method: DFT, PBE
State: optimized geometry

Properties
space-group type = P4/mmm (123)
crystal system = tetragonal
density of states at the Fermi level = 5.74 states/eV/f.u.
calculated volume = 21.95 A^3/atom

Cell lengths 3.717, 3.717, 6.353 Å; angles 90.00, 90.00, 90.00 degrees
Fractional positions:
U  0.000  0.000  0.194
U  0.000  0.000  0.806
Tc  0.500  0.500  0.000
In  0.500  0.500  0.500

---

Most stable: two

---

--- one ---
Material: InTc3W
Method: DFT, PBE
State: optimized geometry

Properties
space-group type = Pm-3m (221)
crystal system = cubic
density of states at the Fermi level = 5.64 states/eV/f.u.
calculated volume = 20.57 A^3/atom

Cell lengths 4.686, 4.686, 4.686 Å; angles 90.00, 90.00, 90.00 degrees
Fractional positions:
In  0.000  0.000  0.000
Tc  0.000  0.000  0.500
Tc  0.500  0.000  0.000
Tc  0.000  0.500  0.000
W  0.500  0.500  0.500

---

--- two ---
Material: InTc3W
Method: DFT, PBE
State: optimized geometry

Properties
space-group type = Pm-3m (221)
crystal system = cubic
density of states at the Fermi level = 5.01 states/eV/f.u.
calculated volume = 21.22 A^3/atom

Cell lengths 4.734, 4.734, 4.734 Å; angles 90.00, 90.00, 90.00 degrees
Fractional positions:
Tc  0.500  0.000  0.000
Tc  0.000  0.000  0.500
Tc  0.000  0.500  0.000
In  0.500  0.500  0.500
W  0.000  0.000  0.000

---

Most stable: two

---

--- one ---
Material: YIn2Tc
Method: DFT, PBE
State: optimized geometry

Properties
space-group type = Pmmm (47)
crystal system = orthorhombic
density of states at the Fermi level = 3.25 states/eV/f.u.
calculated volume = 21.38 A^3/atom

Cell lengths 4.246, 4.318, 4.665 Å; angles 90.00, 90.00, 90.00 degrees
Fractional positions:
Y  0.000  0.500  0.500
In  0.500  0.500  0.000
In  0.000  0.000  0.000
Tc  0.500  0.000  0.500

---

--- two ---
Material: YIn2Tc
Method: DFT, PBE
State: optimized geometry

Properties
space-group type = I-42d (122)
crystal system = tetragonal
density of states at the Fermi level = 2.64 states/eV/f.u.
calculated volume = 23.62 A^3/atom

Cell lengths 4.244, 4.244, 10.913 Å; angles 78.79, 78.79, 90.00 degrees
Fractional positions:
Tc  0.000  0.000  0.000
Tc  0.750  0.250  0.500
In  0.375  0.348  0.750
In  0.098  0.625  0.250
In  0.875  0.902  0.750
In  0.652  0.125  0.250
Y  0.250  0.750  0.500
Y  0.500  0.500  0.000

---

Most stable: one

---

--- one ---
Material: YInTc
Method: DFT, PBE
State: optimized geometry

Properties
space-group type = P3m1 (156)
crystal system = trigonal
density of states at the Fermi level = 1.90 states/eV/f.u.
calculated volume = 22.64 A^3/atom

Cell lengths 3.430, 3.430, 6.665 Å; angles 90.00, 90.00, 120.00 degrees
Fractional positions:
Y  0.333  0.667  0.633
Tc  0.667  0.333  0.331
In  0.000  0.000  0.036

---

--- two ---
Material: YInTc
Method: DFT, PBE
State: optimized geometry

Properties
space-group type = F-43m (216)
crystal system = cubic
density of states at the Fermi level = 4.65 states/eV/f.u.
calculated volume = 24.47 A^3/atom

Cell lengths 4.700, 4.700, 4.700 Å; angles 60.00, 60.00, 60.00 degrees
Fractional positions:
Y  0.000  0.000  0.000
In  0.500  0.500  0.500
Tc  0.250  0.250  0.250

---

Most stable: one

---

--- one ---
Material: Y4InTc
Method: DFT, PBE
State: optimized geometry

Properties
space-group type = F-43m (216)
crystal system = cubic
density of states at the Fermi level = 4.65 states/eV/f.u.
calculated volume = 26.61 A^3/atom

Cell lengths 6.089, 6.089, 6.089 Å; angles 60.00, 60.00, 60.00 degrees
Fractional positions:
Y  0.374  0.374  0.374
Y  0.374  0.374  0.878
Y  0.878  0.374  0.374
Y  0.374  0.878  0.374
Tc  0.000  0.000  0.000
In  0.750  0.750  0.750

---

--- two ---
Material: Y4InTc
Method: DFT, PBE
State: optimized geometry

Properties
space-group type = C2/c (15)
crystal system = monoclinic
density of states at the Fermi level = 6.24 states/eV/f.u.
calculated volume = 28.13 A^3/atom

Cell lengths 6.235, 7.828, 7.828 Å; angles 112.10, 99.66, 99.66 degrees
Fractional positions:
Y  0.048  0.938  0.275
Y  0.390  0.797  0.640
Y  0.110  0.360  0.203
Y  0.952  0.062  0.725
Y  0.452  0.725  0.062
Y  0.548  0.275  0.938
Y  0.890  0.640  0.797
Y  0.610  0.203  0.360
Tc  0.250  0.999  0.001
Tc  0.750  0.001  0.999
In  0.250  0.375  0.625
In  0.750  0.625  0.375

---

Most stable: two

---

--- one ---
Material: ZnInTc
Method: DFT, PBE
State: optimized geometry

Properties
space-group type = F-43m (216)
crystal system = cubic
density of states at the Fermi level = 2.78 states/eV/f.u.
calculated volume = 20.52 A^3/atom

Cell lengths 4.432, 4.432, 4.432 Å; angles 60.00, 60.00, 60.00 degrees
Fractional positions:
Tc  0.750  0.750  0.750
Zn  0.000  0.000  0.000
In  0.500  0.500  0.500

---

--- two ---
Material: ZnInTc
Method: DFT, PBE
State: optimized geometry

Properties
space-group type = P3m1 (156)
crystal system = trigonal
density of states at the Fermi level = 2.00 states/eV/f.u.
calculated volume = 16.57 A^3/atom

Cell lengths 4.511, 4.511, 2.822 Å; angles 90.00, 90.00, 120.00 degrees
Fractional positions:
Zn  0.333  0.667  0.737
Tc  0.667  0.333  0.364
In  0.000  0.000  0.899

---

--- three ---
Material: ZnInTc
Method: DFT, PBE
State: optimized geometry

Properties
space-group type = P-1 (2)
crystal system = triclinic
density of states at the Fermi level = 1.78 states/eV/f.u.
calculated volume = 17.80 A^3/atom

Cell lengths 3.072, 4.715, 8.468 Å; angles 103.06, 111.79, 70.75 degrees
Fractional positions:
In  0.971  0.285  0.122
In  0.029  0.715  0.878
Tc  0.195  0.740  0.564
Tc  0.805  0.260  0.436
Zn  0.606  0.211  0.708
Zn  0.394  0.789  0.292

---

--- four ---
Material: ZnInTc
Method: DFT, PBE
State: optimized geometry

Properties
space-group type = I4mm (107)
crystal system = tetragonal
density of states at the Fermi level = 3.08 states/eV/f.u.
calculated volume = 17.49 A^3/atom

Cell lengths 6.479, 6.479, 2.924 Å; angles 76.97, 76.95, 26.08 degrees
Fractional positions:
In  0.991  0.991  0.009
Zn  0.685  0.685  0.315
Tc  0.325  0.325  0.675

---

Most stable: three

---

--- one ---
Material: ZrInTc
Method: DFT, PBE
State: optimized geometry

Properties
space-group type = P3m1 (156)
crystal system = trigonal
density of states at the Fermi level = 1.16 states/eV/f.u.
calculated volume = 19.11 A^3/atom

Cell lengths 4.721, 4.721, 2.970 Å; angles 90.00, 90.00, 120.00 degrees
Fractional positions:
Zr  0.667  0.333  0.610
In  0.000  0.000  0.042
Tc  0.333  0.667  0.349

---

--- two ---
Material: ZrInTc
Method: DFT, PBE
State: optimized geometry

Properties
space-group type = Cmcm (63)
crystal system = orthorhombic
density of states at the Fermi level = 1.30 states/eV/f.u.
calculated volume = 19.44 A^3/atom

Cell lengths 4.655, 5.863, 4.655 Å; angles 113.39, 90.00, 90.00 degrees
Fractional positions:
Tc  0.250  0.487  0.744
Tc  0.750  0.513  0.256
Zr  0.750  0.214  0.607
Zr  0.250  0.786  0.393
In  0.250  0.196  0.098
In  0.750  0.804  0.902

---

Most stable: two

---

--- one ---
Material: ZrInTc
Method: DFT, PBE
State: optimized geometry

Properties
space-group type = Fmm2 (42)
crystal system = orthorhombic
density of states at the Fermi level = 1.41 states/eV/f.u.
calculated volume = 19.79 A^3/atom

Cell lengths 7.259, 7.027, 3.054 Å; angles 81.95, 73.42, 24.62 degrees
Fractional positions:
Zr  0.681  0.681  0.319
In  0.991  0.991  0.009
Tc  0.328  0.328  0.672

---

--- two ---
Material: ZrInTc
Method: DFT, PBE
State: optimized geometry

Properties
space-group type = P3m1 (156)
crystal system = trigonal
density of states at the Fermi level = 2.47 states/eV/f.u.
calculated volume = 20.44 A^3/atom

Cell lengths 3.256, 3.256, 6.679 Å; angles 90.00, 90.00, 120.00 degrees
Fractional positions:
Tc  0.667  0.333  0.348
Zr  0.333  0.667  0.632
In  0.000  0.000  0.020

---

--- three ---
Material: ZrInTc
Method: DFT, PBE
State: optimized geometry

Properties
space-group type = F-43m (216)
crystal system = cubic
density of states at the Fermi level = 3.22 states/eV/f.u.
calculated volume = 22.37 A^3/atom

Cell lengths 4.562, 4.562, 4.562 Å; angles 60.00, 60.00, 60.00 degrees
Fractional positions:
Tc  0.750  0.750  0.750
In  0.500  0.500  0.500
Zr  0.000  0.000  0.000

---

--- four ---
Material: ZrInTc
Method: DFT, PBE
State: optimized geometry

Properties
space-group type = I4mm (107)
crystal system = tetragonal
calculated volume = 19.28 A^3/atom

Cell lengths 5.374, 5.374, 5.374 Å; angles 142.23, 142.23, 54.48 degrees
Fractional positions:
In  0.993  0.993  0.000
Zr  0.684  0.684  0.000
Tc  0.324  0.324  0.000

---

Most stable: four

---

--- one ---
Material: Zr3InTc
Method: DFT, PBE
State: optimized geometry

Properties
space-group type = Pm-3m (221)
crystal system = cubic
density of states at the Fermi level = 9.14 states/eV/f.u.
calculated volume = 25.42 A^3/atom

Cell lengths 5.028, 5.028, 5.028 Å; angles 90.00, 90.00, 90.00 degrees
Fractional positions:
Zr  0.500  0.000  0.000
Zr  0.000  0.000  0.500
Zr  0.000  0.500  0.000
In  0.500  0.500  0.500
Tc  0.000  0.000  0.000

---

--- two ---
Material: Zr3InTc
Method: DFT, PBE
State: optimized geometry

Properties
space-group type = Pm-3m (221)
crystal system = cubic
density of states at the Fermi level = 9.38 states/eV/f.u.
calculated volume = 27.49 A^3/atom

Cell lengths 5.161, 5.161, 5.161 Å; angles 90.00, 90.00, 90.00 degrees
Fractional positions:
Zr  0.000  0.000  0.500
Zr  0.500  0.000  0.000
Zr  0.000  0.500  0.000
In  0.000  0.000  0.000
Tc  0.500  0.500  0.500

---

--- three ---
Material: Zr3InTc
Method: DFT, PBE
State: optimized geometry

Properties
space-group type = Pm-3m (221)
crystal system = cubic
density of states at the Fermi level = 4.86 states/eV/f.u.
calculated volume = 21.02 A^3/atom

Cell lengths 6.806, 6.806, 6.806 Å; angles 90.00, 90.00, 90.00 degrees
Fractional positions:
Tc  0.000  0.500  0.000
Tc  0.000  0.000  0.500
Tc  0.500  0.000  0.000
In  0.000  0.500  0.500
In  0.500  0.500  0.000
In  0.500  0.000  0.500
Zr  0.234  0.234  0.234
Zr  0.500  0.500  0.500
Zr  0.234  0.766  0.234
Zr  0.766  0.766  0.234
Zr  0.766  0.766  0.766
Zr  0.234  0.234  0.766
Zr  0.766  0.234  0.766
Zr  0.234  0.766  0.766
Zr  0.766  0.234  0.234

---

Most stable: three